w.
Material: RbMo2O2
Method: DFT, GGA+U
State: relaxed

Unit cell a=7.6721 b=7.6721 c=3.0645 alpha=90.00 beta=90.00 gamma=90.00
Site moments in Bohr magnetons follow the coordinates.
Sites, in units of the cell vectors:
O 0.6476 0.8524 0.5000  0.03
O 0.8524 0.3524 0.5000  0.02
O 0.1476 0.6476 0.5000  0.02
O 0.3524 0.1476 0.5000  0.03
Mo 0.9051 0.5949 0.0000  0.61
Mo 0.0949 0.4051 0.0000  0.61
Mo 0.5949 0.0949 0.0000  0.61
Mo 0.4051 0.9051 0.0000  0.61
Rb 0.5000 0.5000 0.0000  0.02
Rb 0.0000 0.0000 0.0000  0.02

## Properties
- spin magnetization (μB/f.u.) = 1.35
- space-group type = P4/mbm
- D(E_F) (states/eV per atom) = 0.283

x.
Material: RbMo2O2
Method: DFT, GGA+U
State: relaxed

Unit cell a=4.2680 b=4.2680 c=5.2500 alpha=66.02 beta=66.02 gamma=90.00
Site moments in Bohr magnetons follow the coordinates.
Sites, in units of the cell vectors:
O 0.7500 0.2500 0.5000  -0.01
O 0.2500 0.7500 0.5000  -0.01
Rb 0.0000 0.0000 0.0000  0.03
Mo 0.6446 0.6446 0.7108  1.38
Mo 0.3554 0.3554 0.2892  1.38

## Properties
- spin magnetization (μB/f.u.) = 2.98
- space-group type = I4/mmm
- D(E_F) (states/eV per atom) = 0.055

Of them, the most stable is x and the least stable is w.

w.
Material: RbMoO2
Method: DFT, GGA+U
State: relaxed

Unit cell a=7.2903 b=7.2903 c=7.2903 alpha=26.81 beta=26.81 gamma=26.81
Site moments in Bohr magnetons follow the coordinates.
Sites, in units of the cell vectors:
O 0.1195 0.1195 0.1195  0.03
O 0.8805 0.8805 0.8805  0.03
Mo 0.5000 0.5000 0.5000  2.70
Rb 0.0000 0.0000 0.0000  0.01

## Properties
- spin magnetization (μB/f.u.) = 2.97
- space-group type = R-3m
- D(E_F) (states/eV per atom) = 0.120

x.
Material: RbMoO2
Method: DFT, GGA+U
State: relaxed

Unit cell a=2.8349 b=2.8349 c=6.5833 alpha=90.00 beta=90.00 gamma=90.00
Site moments in Bohr magnetons follow the coordinates.
Sites, in units of the cell vectors:
Rb 0.5000 0.5000 0.5000  0.00
O 0.0000 0.0000 0.1832  0.01
O 0.0000 0.0000 0.8168  0.01
Mo 0.5000 0.5000 0.0000  0.20

## Properties
- spin magnetization (μB/f.u.) = 0.22
- space-group type = P4/mmm
- D(E_F) (states/eV per atom) = 0.283

Of them, the most stable is w and the least stable is x.

w.
Material: RbMoO2
Method: DFT, GGA+U
State: relaxed

Unit cell a=5.3600 b=5.3600 c=6.9282 alpha=67.24 beta=67.24 gamma=90.00
Site moments in Bohr magnetons follow the coordinates.
Sites, in units of the cell vectors:
Mo 0.7500 0.2500 0.5000  2.65
Mo 0.0000 0.0000 0.0000  2.65
O 0.3750 0.2359 0.7500  0.01
O 0.7641 0.1250 0.2500  0.02
O 0.8750 0.0141 0.7500  0.02
O 0.9859 0.6250 0.2500  0.03
Rb 0.2500 0.7500 0.5000  0.01
Rb 0.5000 0.5000 0.0000  0.01

## Properties
- spin magnetization (μB/f.u.) = 3.00
- space-group type = I-42d
- D(E_F) (states/eV per atom) = 0.014

x.
Material: RbMoO2
Method: DFT, GGA+U
State: relaxed

Unit cell a=7.6251 b=7.6251 c=7.6251 alpha=27.10 beta=27.10 gamma=27.10
Site moments in Bohr magnetons follow the coordinates.
Sites, in units of the cell vectors:
O 0.9173 0.9173 0.9173  -0.08
O 0.0827 0.0827 0.0827  -0.08
Rb 0.5000 0.5000 0.5000  0.00
Mo 0.0000 0.0000 0.0000  1.88

## Properties
- spin magnetization (μB/f.u.) = 1.89
- space-group type = R-3m
- D(E_F) (states/eV per atom) = 0.274

Of them, the most stable is w and the least stable is x.

w.
Material: ReMo2O2
Method: DFT, GGA+U
State: relaxed

Unit cell a=3.2396 b=3.2396 c=6.3962 alpha=75.33 beta=75.33 gamma=90.00
Site moments in Bohr magnetons follow the coordinates.
Sites, in units of the cell vectors:
O 0.7500 0.2500 0.5000  -0.01
O 0.2500 0.7500 0.5000  -0.01
Mo 0.6367 0.6367 0.7267  0.70
Mo 0.3633 0.3633 0.2733  0.70
Re 0.0000 0.0000 0.0000  -0.34

## Properties
- spin magnetization (μB/f.u.) = 0.99
- space-group type = I4/mmm
- D(E_F) (states/eV per atom) = 0.288

x.
Material: ReMo2O2
Method: DFT, GGA+U
State: relaxed

Unit cell a=6.9112 b=6.9112 c=2.6586 alpha=90.00 beta=90.00 gamma=90.00
Site moments in Bohr magnetons follow the coordinates.
Sites, in units of the cell vectors:
Mo 0.8446 0.6554 0.0000  0.87
Mo 0.3446 0.8446 0.0000  0.88
Mo 0.1554 0.3446 0.0000  0.87
Mo 0.6554 0.1554 0.0000  0.88
O 0.6170 0.8830 0.5000  -0.07
O 0.8830 0.3830 0.5000  -0.07
O 0.1170 0.6170 0.5000  -0.07
O 0.3830 0.1170 0.5000  -0.07
Re 0.5000 0.5000 0.0000  -0.55
Re 0.0000 0.0000 0.0000  -0.55

## Properties
- spin magnetization (μB/f.u.) = 1.03
- space-group type = P4/mbm
- D(E_F) (states/eV per atom) = 0.746

Of them, the most stable is w and the least stable is x.

w.
Material: MoRu3O
Method: DFT, GGA+U
State: relaxed

Unit cell a=4.6998 b=4.6998 c=4.6998 alpha=90.00 beta=90.00 gamma=90.00
Site moments in Bohr magnetons follow the coordinates.
Sites, in units of the cell vectors:
Mo 0.0000 0.0000 0.0000  -0.63
O 0.5000 0.5000 0.5000  1.03
Ru 0.0000 0.5000 0.0000  1.49
Ru 0.5000 0.0000 0.0000  1.21
Ru 0.0000 0.0000 0.5000  1.44

## Properties
- spin magnetization (μB/f.u.) = 4.90
- space-group type = Pm-3m
- D(E_F) (states/eV per atom) = 0.953

x.
Material: MoRu3O
Method: DFT, GGA+U
State: relaxed

Unit cell a=4.1002 b=4.1002 c=4.1002 alpha=90.00 beta=90.00 gamma=90.00
Site moments in Bohr magnetons follow the coordinates.
Sites, in units of the cell vectors:
Mo 0.5000 0.5000 0.5000  2.70
Ru 0.0000 0.5000 0.0000  -0.37
Ru 0.0000 0.0000 0.5000  -0.32
Ru 0.5000 0.0000 0.0000  -0.47
O 0.0000 0.0000 0.0000  -0.01

## Properties
- spin magnetization (μB/f.u.) = 1.75
- space-group type = Pm-3m
- D(E_F) (states/eV per atom) = 1.070

Of them, the most stable is x and the least stable is w.

w.
Material: MoSO6
Method: DFT, GGA+U
State: relaxed

Unit cell a=8.8320 b=12.3480 c=15.1174 alpha=114.10 beta=103.35 gamma=90.00
Sites, in units of the cell vectors:
O 0.9000 0.2188 0.1383
O 0.9739 0.6132 0.4233
O 0.5302 0.5735 0.9492
O 0.0261 0.3868 0.5767
O 0.1000 0.7812 0.8617
O 0.4698 0.4265 0.0508
O 0.4382 0.6988 0.8302
O 0.8195 0.5283 0.4979
O 0.9174 0.9744 0.8825
O 0.2231 0.5628 0.8720
O 0.3423 0.1714 0.1525
O 0.8122 0.2834 0.3809
O 0.6434 0.0432 0.2912
O 0.5826 0.0919 0.1175
O 0.8696 0.4260 0.7842
O 0.9178 0.8421 0.0032
O 0.2683 0.1643 0.6525
O 0.3122 0.0975 0.3809
O 0.0822 0.1579 0.9968
O 0.8275 0.6303 0.8275
O 0.6725 0.8029 0.1725
O 0.1023 0.2766 0.7585
O 0.3696 0.3582 0.7842
O 0.0636 0.0966 0.4536
O 0.2769 0.6908 0.1280
O 0.5261 0.1899 0.5767
O 0.6000 0.0805 0.8617
O 0.5636 0.3569 0.4536
O 0.0618 0.8686 0.1698
O 0.9364 0.9034 0.5464
O 0.1304 0.5740 0.2158
O 0.7683 0.4882 0.6525
O 0.9382 0.1314 0.8302
O 0.8423 0.9811 0.1525
O 0.2317 0.5118 0.3475
O 0.7317 0.8357 0.3475
O 0.0302 0.3757 0.9492
O 0.1878 0.7166 0.6191
O 0.3275 0.1971 0.8275
O 0.0826 0.0256 0.1175
O 0.7769 0.4372 0.1280
O 0.1725 0.3697 0.1725
O 0.1577 0.0189 0.8475
O 0.2703 0.3095 0.5410
O 0.9698 0.6243 0.0508
O 0.7703 0.2315 0.5410
O 0.5822 0.8389 0.9968
O 0.1805 0.4717 0.5021
O 0.6023 0.4818 0.7585
O 0.7231 0.3092 0.8720
O 0.6577 0.8286 0.8475
O 0.4178 0.1611 0.0032
O 0.3195 0.9696 0.4979
O 0.2218 0.8270 0.3247
O 0.8977 0.7234 0.2415
O 0.4174 0.9081 0.8825
O 0.6304 0.6418 0.2158
O 0.1434 0.2480 0.2912
O 0.6878 0.9025 0.6191
O 0.4739 0.8101 0.4233
O 0.5618 0.3012 0.1698
O 0.6805 0.0304 0.5021
O 0.7297 0.6905 0.4590
O 0.4364 0.6431 0.5464
O 0.2297 0.7685 0.4590
O 0.2782 0.5023 0.6753
O 0.3977 0.5182 0.2415
O 0.3566 0.9568 0.7088
O 0.7782 0.1730 0.6753
O 0.4000 0.9195 0.1383
O 0.7218 0.4977 0.3247
O 0.8566 0.7520 0.7088
S 0.9697 0.9274 0.1076
S 0.2395 0.4948 0.2472
S 0.6852 0.1577 0.5767
S 0.1852 0.4190 0.5767
S 0.7605 0.5052 0.7528
S 0.8148 0.5810 0.4233
S 0.0303 0.0726 0.8924
S 0.2605 0.2476 0.7528
S 0.5303 0.8198 0.8924
S 0.4697 0.1802 0.1076
S 0.3148 0.8423 0.4233
S 0.7395 0.7524 0.2472
Mo 0.5964 0.9568 0.1655
Mo 0.0964 0.2087 0.1655
Mo 0.2380 0.6380 0.5097
Mo 0.4036 0.0432 0.8345
Mo 0.7380 0.8717 0.5097
Mo 0.9036 0.7913 0.8345
Mo 0.8957 0.2985 0.8384
Mo 0.7620 0.3620 0.4903
Mo 0.1043 0.7015 0.1616
Mo 0.6043 0.4601 0.1616
Mo 0.3957 0.5399 0.8384
Mo 0.2620 0.1283 0.4903

## Properties
- spin magnetization (μB/f.u.) = 0.00
- space-group type = C2/c
- D(E_F) (states/eV per atom) = 0.000

x.
Material: MoSO6
Method: DFT, GGA+U
State: relaxed

Unit cell a=5.2594 b=5.2594 c=4.5462 alpha=95.80 beta=95.80 gamma=128.72
Sites, in units of the cell vectors:
Mo 0.0000 0.0000 0.0000
O 0.5838 0.8282 0.7128
O 0.4162 0.1718 0.2872
O 0.7430 0.7430 0.2670
O 0.2570 0.2570 0.7330
O 0.1718 0.4162 0.2872
O 0.8282 0.5838 0.7128
S 0.5000 0.5000 0.5000

## Properties
- spin magnetization (μB/f.u.) = 0.00
- space-group type = C2/m
- D(E_F) (states/eV per atom) = 0.168

Of them, the most stable is w and the least stable is x.